--- a ---
The following is a DFT calculation (PBE+U) of crystalline NiRhF2 at its relaxed geometry.

Cell lengths 5.802, 5.802, 5.802 Å; angles 90.00, 90.00, 90.00 degrees
Space group Fm-3m (No. 225)
Symmetry-distinct sites (fractional):
Ni1 0.000 0.000 0.000 (multiplicity 4)
Rh1 0.000 0.000 0.500 (multiplicity 4)
F1 0.250 0.250 0.250 (multiplicity 8)

=====

--- b ---
The following is a DFT calculation (PBE+U) of crystalline NiRhF2 at its relaxed geometry.

Cell lengths 2.7672, 2.7672, 22.5915 Å; angles 90.00, 90.00, 120.00 degrees
Space group R-3m (No. 166, hexagonal axes)
Symmetry-distinct sites (fractional):
Ni1 0.0000 0.0000 0.0000 (multiplicity 3)
Rh1 0.0000 0.0000 0.5000 (multiplicity 3)
F1 0.0000 0.0000 0.0841 (multiplicity 6)

=====

Relative energies, in meV/atom, with the most stable structure set to zero: a 235; b 0.